No. 1
## LaNi3Ag (PBE)

Data for LaNi3Ag after structural relaxation.

Summary:
* formation energy from the elements: 536 meV per atom
* distance to the lowest polymorph of the same formula: 0 meV/atom

Lattice parameters (Å, degrees): 4.671 4.671 4.671 90.00 90.00 90.00
Positions (direct):
Ni: 0.000 0.500 0.000
Ni: 0.000 0.000 0.500
Ni: 0.500 0.000 0.000
Ag: 0.000 0.000 0.000
La: 0.500 0.500 0.500

=====

No. 2
## LaNi2Ag (PBE)

Data for LaNi2Ag after structural relaxation.

Summary:
* formation energy from the elements: 91 meV per atom

Lattice parameters (Å, degrees): 4.462 4.462 9.313 76.14 76.14 90.00
Positions (direct):
Ni: 0.445 0.125 0.250
Ni: 0.305 0.625 0.250
Ni: 0.375 0.555 0.750
Ni: 0.875 0.695 0.750
Ag: 0.500 0.500 0.000
Ag: 0.250 0.750 0.500
La: 0.000 0.000 0.000
La: 0.750 0.250 0.500

=====

No. 3
## LaNi4Ag (PBE)

Data for LaNi4Ag after structural relaxation.

Summary:
* formation energy from the elements: -194 meV per atom

Lattice parameters (Å, degrees): 5.050 5.050 5.050 60.00 60.00 60.00
Last column: magnetic moment on the atom in μB.
Positions (direct):
Ag: 0.750 0.750 0.750  0.01
La: 0.000 0.000 0.000  -0.03
Ni: 0.376 0.376 0.376  0.23
Ni: 0.376 0.872 0.376  0.23
Ni: 0.376 0.376 0.872  0.23
Ni: 0.872 0.376 0.376  0.23

=====

No. 4
## LaNiAg (PBE)

Data for LaNiAg after structural relaxation.

Summary:
* formation energy from the elements: -157 meV per atom
* distance to the lowest polymorph of the same formula: 161 meV/atom

Lattice parameters (Å, degrees): 4.657 4.657 4.657 60.00 60.00 60.00
Positions (direct):
Ag: 0.000 0.000 0.000
La: 0.500 0.500 0.500
Ni: 0.750 0.750 0.750

=====

No. 5
## La4NiAg (PBE)

Data for La4NiAg after structural relaxation.

Summary:
* formation energy from the elements: -185 meV per atom
* distance to the lowest polymorph of the same formula: 0 meV/atom

Lattice parameters (Å, degrees): 6.383 7.233 8.388 90.00 109.81 90.00
Positions (direct):
La: 0.566 0.250 0.419
La: 0.434 0.750 0.581
La: 0.579 0.250 0.871
La: 0.421 0.750 0.129
La: 0.981 0.005 0.276
La: 0.019 0.505 0.724
La: 0.981 0.495 0.276
La: 0.019 0.995 0.724
Ni: 0.210 0.250 0.554
Ni: 0.790 0.750 0.446
Ag: 0.215 0.250 0.056
Ag: 0.785 0.750 0.944

=====

No. 6
## La2NiAg (PBE)

Data for La2NiAg after structural relaxation.

Summary:
* formation energy from the elements: -253 meV per atom

Lattice parameters (Å, degrees): 4.657 6.119 7.933 112.66 90.00 90.00
Positions (direct):
La: 0.750 0.209 0.436
La: 0.250 0.791 0.564
La: 0.250 0.754 0.076
La: 0.750 0.246 0.924
Ni: 0.750 0.655 0.290
Ni: 0.250 0.345 0.710
Ag: 0.250 0.329 0.213
Ag: 0.750 0.671 0.787

=====

No. 7
## LaNi3Ag (PBE)

Data for LaNi3Ag after structural relaxation.

Summary:
* formation energy from the elements: 1185 meV per atom
* distance to the lowest polymorph of the same formula: 649 meV/atom

Lattice parameters (Å, degrees): 4.720 4.720 4.720 90.00 90.00 90.00
Positions (direct):
Ni: 0.000 0.500 0.000
Ni: 0.000 0.000 0.500
Ni: 0.500 0.000 0.000
Ag: 0.500 0.500 0.500
La: 0.000 0.000 0.000

=====

No. 8
## La3Ni2Ag4 (PBE)

Data for La3Ni2Ag4 after structural relaxation.

Summary:
* formation energy from the elements: -253 meV per atom

Lattice parameters (Å, degrees): 4.277 6.216 8.816 74.46 75.96 69.88
Positions (direct):
La: 0.312 0.746 0.630
La: 0.000 0.000 0.000
La: 0.688 0.254 0.370
Ni: 0.388 0.955 0.268
Ni: 0.612 0.045 0.732
Ag: 0.265 0.384 0.085
Ag: 0.735 0.616 0.915
Ag: 0.016 0.321 0.648
Ag: 0.984 0.679 0.352

=====

No. 9
## La12NiAg6 (PBE)

Data for La12NiAg6 after structural relaxation.

Summary:
* formation energy from the elements: -97 meV per atom

Lattice parameters (Å, degrees): 8.459 8.459 8.459 93.84 93.84 93.84
Positions (direct):
La: 0.808 0.575 0.458
La: 0.458 0.808 0.575
La: 0.575 0.458 0.808
La: 0.192 0.425 0.542
La: 0.542 0.192 0.425
La: 0.425 0.542 0.192
La: 0.972 0.084 0.319
La: 0.916 0.681 0.028
La: 0.681 0.028 0.916
La: 0.028 0.916 0.681
La: 0.084 0.319 0.972
La: 0.319 0.972 0.084
Ni: 0.000 0.000 0.000
Ag: 0.654 0.855 0.261
Ag: 0.739 0.346 0.145
Ag: 0.145 0.739 0.346
Ag: 0.346 0.145 0.739
Ag: 0.261 0.654 0.855
Ag: 0.855 0.261 0.654

=====

No. 10
## La6Ni2Ag (PBE)

Data for La6Ni2Ag after structural relaxation.

Summary:
* formation energy from the elements: -219 meV per atom

Lattice parameters (Å, degrees): 8.802 8.802 8.802 106.18 108.09 114.25
Positions (direct):
La: 0.526 0.702 0.824
La: 0.474 0.298 0.176
La: 0.122 0.298 0.824
La: 0.878 0.702 0.176
La: 0.798 0.781 0.580
La: 0.202 0.219 0.420
La: 0.202 0.781 0.983
La: 0.798 0.219 0.017
La: 0.696 0.368 0.672
La: 0.304 0.632 0.328
La: 0.304 0.976 0.672
La: 0.696 0.024 0.328
Ni: 0.500 0.372 0.872
Ni: 0.500 0.628 0.128
Ni: 0.640 0.000 0.640
Ni: 0.360 0.000 0.360
Ag: 0.000 0.500 0.500
Ag: 0.000 0.000 0.000

=====

No. 11
## LaNi2Ag (PBE)

Data for LaNi2Ag after structural relaxation.

Summary:
* formation energy from the elements: -136 meV per atom

Lattice parameters (Å, degrees): 3.891 3.893 5.291 68.45 90.00 90.00
Positions (direct):
Ag: 0.000 0.484 0.407
La: 0.500 0.775 0.822
Ni: 0.000 0.188 0.997
Ni: 0.500 0.052 0.274

=====

No. 12
## LaNiAg (PBE)

Data for LaNiAg after structural relaxation.

Summary:
* formation energy from the elements: 359 meV per atom
* distance to the lowest polymorph of the same formula: 677 meV/atom

Lattice parameters (Å, degrees): 4.873 4.873 4.873 60.00 60.00 60.00
Positions (direct):
Ag: 0.500 0.500 0.500
La: 0.750 0.750 0.750
Ni: 0.000 0.000 0.000

=====

No. 13
## La12Ni6Ag (PBE)

Data for La12Ni6Ag after structural relaxation.

Summary:
* formation energy from the elements: -258 meV per atom

Lattice parameters (Å, degrees): 8.821 8.821 8.821 109.47 109.47 109.47
Positions (direct):
La: 0.309 0.184 0.492
La: 0.309 0.816 0.125
La: 0.691 0.184 0.875
La: 0.691 0.816 0.508
La: 0.125 0.309 0.816
La: 0.492 0.309 0.184
La: 0.508 0.691 0.816
La: 0.875 0.691 0.184
La: 0.816 0.508 0.691
La: 0.184 0.875 0.691
La: 0.816 0.125 0.309
La: 0.184 0.492 0.309
Ni: 0.374 0.874 0.500
Ni: 0.626 0.126 0.500
Ni: 0.500 0.626 0.126
Ni: 0.500 0.374 0.874
Ni: 0.874 0.500 0.374
Ni: 0.126 0.500 0.626
Ag: 0.000 0.000 0.000

=====

No. 14
## La5NiAg4 (PBE)

Data for La5NiAg4 after structural relaxation.

Summary:
* formation energy from the elements: -251 meV per atom

Lattice parameters (Å, degrees): 3.725 3.725 19.352 90.00 90.00 90.00
Positions (direct):
La: 0.500 0.500 0.085
La: 0.500 0.500 0.294
La: 0.500 0.500 0.500
La: 0.500 0.500 0.706
La: 0.500 0.500 0.915
Ni: 0.000 0.000 0.000
Ag: 0.000 0.000 0.192
Ag: 0.000 0.000 0.397
Ag: 0.000 0.000 0.603
Ag: 0.000 0.000 0.808

=====

No. 15
## La2NiAg (PBE)

Data for La2NiAg after structural relaxation.

Summary:
* formation energy from the elements: -90 meV per atom

Lattice parameters (Å, degrees): 4.322 4.321 6.093 90.00 90.00 90.00
Positions (direct):
Ag: 0.500 0.500 0.872
La: 0.000 0.000 0.880
La: 0.500 0.500 0.373
Ni: 0.000 0.000 0.375

=====

No. 16
## La2NiAg (PBE)

Data for La2NiAg after structural relaxation.

Summary:
* formation energy from the elements: -195 meV per atom

Lattice parameters (Å, degrees): 3.738 5.208 5.208 90.00 90.00 90.00
Positions (direct):
Ag: 0.500 0.000 0.500
La: 0.000 0.000 0.000
La: 0.000 0.500 0.500
Ni: 0.500 0.500 0.000

=====

No. 17
## La8NiAg2 (PBE)

Data for La8NiAg2 after structural relaxation.

Summary:
* formation energy from the elements: -78 meV per atom
* distance to the lowest polymorph of the same formula: 44 meV/atom

Lattice parameters (Å, degrees): 5.545 8.905 8.564 119.16 108.89 90.00
Positions (direct):
La: 0.592 0.442 0.185
La: 0.334 0.029 0.669
La: 0.129 0.182 0.259
La: 0.074 0.717 0.148
La: 0.871 0.818 0.741
La: 0.666 0.971 0.331
La: 0.408 0.558 0.815
La: 0.926 0.283 0.852
Ni: 0.500 0.000 0.000
Ag: 0.223 0.595 0.445
Ag: 0.777 0.405 0.555

=====

No. 18
## LaNiAg4 (PBE)

Data for LaNiAg4 after structural relaxation.

Summary:
* formation energy from the elements: 12 meV per atom

Lattice parameters (Å, degrees): 5.555 5.555 5.555 60.00 60.00 60.00
Positions (direct):
La: 0.750 0.750 0.750
Ni: 0.000 0.000 0.000
Ag: 0.878 0.374 0.374
Ag: 0.374 0.374 0.878
Ag: 0.374 0.878 0.374
Ag: 0.374 0.374 0.374

=====

No. 19
## LaNiAg (PBE)

Data for LaNiAg after structural relaxation.

Summary:
* formation energy from the elements: -295 meV per atom
* distance to the lowest polymorph of the same formula: 23 meV/atom

Lattice parameters (Å, degrees): 5.428 6.578 7.691 111.80 90.00 90.00
Positions (direct):
La: 0.896 0.815 0.125
La: 0.604 0.815 0.625
La: 0.104 0.185 0.875
La: 0.396 0.185 0.375
Ni: 0.383 0.835 0.980
Ni: 0.617 0.165 0.020
Ni: 0.883 0.165 0.520
Ni: 0.117 0.835 0.480
Ag: 0.408 0.581 0.196
Ag: 0.592 0.419 0.804
Ag: 0.092 0.581 0.696
Ag: 0.908 0.419 0.304

=====

No. 20
## La2NiAg (PBE)

Data for La2NiAg after structural relaxation.

Summary:
* formation energy from the elements: -236 meV per atom

Lattice parameters (Å, degrees): 4.745 3.972 5.886 70.97 90.00 90.00
Positions (direct):
Ni: 0.000 0.699 0.475
Ag: 0.500 0.552 0.775
La: 0.000 0.990 0.900
La: 0.500 0.260 0.350